Entry 1:
The following is a PBE calculation of a relaxed structure of Os2PtSe, from the Alexandria database.

Theoretical density ... 17.7 g/cm3
DOS(E_F) ... 4.89 states/eV/f.u.
E_form (uncorrected) ... 0.74 eV per atom
Space-group type ... No. 123

The structure in POSCAR format:
```
Os2PtSe
1.0
4.558 0.000 0.000
0.000 4.558 0.000
0.000 0.000 2.951
Os Pt Se
2 1 1
direct
0.000 0.500 0.000
0.500 0.000 0.000
0.000 0.000 0.500
0.500 0.500 0.500
```

=====

Entry 2:
The following is a PBE calculation of a relaxed structure of LiIn, from the Alexandria database.

Theoretical density ... 2.7 g/cm3
Energy of formation from the pure elements ... 0.4589 eV/atom
DOS(E_F) ... 0.66 states/eV/f.u.
Space-group type ... No. 223

The structure in POSCAR format:
```
LiIn
1.0
7.656 0.000 0.000
0.000 7.656 0.000
0.000 0.000 7.656
Li In
6 6
direct
0.000 0.250 0.500
0.000 0.750 0.500
0.250 0.500 0.000
0.500 0.000 0.250
0.500 0.000 0.750
0.750 0.500 0.000
0.000 0.500 0.250
0.000 0.500 0.750
0.250 0.000 0.500
0.500 0.250 0.000
0.500 0.750 0.000
0.750 0.000 0.500
```

=====

Entry 3:
The following is a PBE calculation of a relaxed structure of SrTl2Cu, from the Alexandria database.

Theoretical density ... 8.9 g/cm3
Energy of formation from the pure elements ... 0.0062 eV/atom
DOS(E_F) ... 2.60 states/eV/f.u.
Space-group type ... No. 225

The structure in POSCAR format:
```
SrTl2Cu
1.0
0.000 3.740 3.740
3.740 0.000 3.740
3.740 3.740 0.000
Sr Tl Cu
1 2 1
direct
0.000 0.000 0.000
0.250 0.250 0.250
0.750 0.750 0.750
0.500 0.500 0.500
```

=====

Entry 4:
The following is a PBE calculation of a relaxed structure of Sr2Y2C, from the Alexandria database.

Theoretical density ... 3.5 g/cm3
Offset from the most stable computed form ... 1.01 eV/f.u.
Energy of formation from the pure elements ... 1.1354 eV/atom
DOS(E_F) ... 5.05 states/eV/f.u.
Space-group type ... No. 139

The structure in POSCAR format:
```
Sr2Y2C
1.0
-2.056 2.056 10.111
2.056 -2.056 10.111
2.056 2.056 -10.111
Sr Y C
2 2 1
direct
0.079 0.079 0.000
0.921 0.921 0.000
0.250 0.750 0.500
0.750 0.250 0.500
0.500 0.500 0.000
```

=====

Entry 5:
The following is a PBE calculation of a relaxed structure of Fe2HgRhSe, from the Alexandria database.

Theoretical density ... 7.6 g/cm3
DOS(E_F) ... 4.96 states/eV/f.u.
E_form (uncorrected) ... 0.76 eV per atom
Space-group type ... No. 123

The structure in POSCAR format:
```
Fe2HgRhSe
1.0
4.856 0.000 0.000
0.000 4.856 0.000
0.000 0.000 4.572
Fe Hg Rh Se
2 1 1 1
direct
0.000 0.500 0.000
0.500 0.000 0.000
0.000 0.000 0.500
0.500 0.500 0.000
0.500 0.500 0.500
```

=====

Entry 6:
The following is a PBE calculation of a relaxed structure of CoMoAsBr2, from the Alexandria database.

Theoretical density ... 5.7 g/cm3
Offset from the most stable computed form ... 0.00 eV/f.u.
DOS(E_F) ... 3.67 states/eV/f.u.
E_form (uncorrected) ... 0.87 eV per atom
Space-group type ... No. 123

The structure in POSCAR format:
```
CoMoAsBr2
1.0
5.013 0.000 0.000
0.000 5.013 0.000
0.000 0.000 4.490
Co Mo As Br
1 1 1 2
direct
0.000 0.000 0.000
0.500 0.500 0.500
0.000 0.000 0.500
0.000 0.500 0.000
0.500 0.000 0.000
```

=====

What did the third record say?
The following is a PBE calculation of a relaxed structure of SrTl2Cu, from the Alexandria database.

Theoretical density ... 8.9 g/cm3
Energy of formation from the pure elements ... 0.0062 eV/atom
DOS(E_F) ... 2.60 states/eV/f.u.
Space-group type ... No. 225

The structure in POSCAR format:
```
SrTl2Cu
1.0
0.000 3.740 3.740
3.740 0.000 3.740
3.740 3.740 0.000
Sr Tl Cu
1 2 1
direct
0.000 0.000 0.000
0.250 0.250 0.250
0.750 0.750 0.750
0.500 0.500 0.500
```

=====

What is the formula in the second record?
LiIn

=====

What is the DOS(E_F) in the first record?
4.89 states/eV/f.u.

=====

Among the records above, which one has the highest theoretical density?
Os2PtSe